Entry 1:
A plane-wave DFT calculation with PBE was carried out for a relaxed structure of Ce4PrCo4.

Properties
Formation enthalpy at 0 K, eV per atom: -0.136
Calculated volume, Å³/atom: 22.11
Crystal system: tetragonal

Cell lengths 8.3134, 8.3134, 5.7593 Å; angles 90.00, 90.00, 90.00 degrees
Space group P4_2/n (No. 86, origin choice 2)
Symmetry-distinct sites (fractional):
Ce (0.0565, 0.6680, 0.1829)
Pr (0.2500, 0.2500, 0.2500)
Co (0.0559, 0.6029, 0.6611)

---

Entry 2:
A plane-wave DFT calculation with PBE was carried out for a relaxed structure of KHoPO4.

Properties
Raw formation energy, eV/atom: -2.32
Calculated volume, Å³/atom: 22.19
Crystal system: cubic

Cell lengths 8.5329, 8.5329, 8.5329 Å; angles 90.00, 90.00, 90.00 degrees
Space group F-43m (No. 216)
Symmetry-distinct sites (fractional):
K (0.0000, 0.0000, 0.0000)
Ho (0.2500, 0.2500, 0.7500)
P (0.0000, 0.0000, 0.5000)
O (0.1053, 0.1053, 0.6053)

---

Entry 3:
A plane-wave DFT calculation with PBE was carried out for a relaxed structure of LiSm4Ga2.

Properties
Formation enthalpy at 0 K, eV per atom: -0.293
Calculated volume, Å³/atom: 26.82
Crystal system: trigonal

Cell lengths 5.1488, 5.1488, 24.5278 Å; angles 90.00, 90.00, 120.00 degrees
Space group R-3m (No. 166, hexagonal axes)
Symmetry-distinct sites (fractional):
Li (0.0000, 0.0000, 0.0000)
Sm (0.0000, 0.0000, 0.1321)
Sm (0.0000, 0.0000, 0.3855)
Ga (0.0000, 0.0000, 0.2583)

---

Entry 4:
A plane-wave DFT calculation with PBE was carried out for a relaxed structure of LaTi2RuPb.

Properties
Formation enthalpy at 0 K, eV per atom: 1.001
Calculated volume, Å³/atom: 27.23
Crystal system: tetragonal

Cell lengths 5.1675, 5.1675, 5.0985 Å; angles 90.00, 90.00, 90.00 degrees
Space group P4/mmm (No. 123)
Symmetry-distinct sites (fractional):
La (0.0000, 0.0000, 0.0000)
Ti (0.0000, 0.5000, 0.5000)
Ru (0.5000, 0.5000, 0.0000)
Pb (0.5000, 0.5000, 0.5000)

---

Entry 5:
A plane-wave DFT calculation with PBE was carried out for a relaxed structure of PbSe3O.

Properties
Raw formation energy, eV/atom: 0.13
E above lowest polymorph, meV/atom: 0
Calculated volume, Å³/atom: 20.48
Crystal system: cubic

Cell lengths 4.6781, 4.6781, 4.6781 Å; angles 90.00, 90.00, 90.00 degrees
Space group Pm-3m (No. 221)
Symmetry-distinct sites (fractional):
Pb (0.0000, 0.0000, 0.0000)
Se (0.0000, 0.5000, 0.5000)
O (0.5000, 0.5000, 0.5000)

---

Entry 6:
A plane-wave DFT calculation with PBE was carried out for a relaxed structure of LiTbCdAu.

Properties
Formation enthalpy at 0 K, eV per atom: -0.479
Calculated volume, Å³/atom: 20.65
Crystal system: cubic

Cell lengths 6.9132, 6.9132, 6.9132 Å; angles 90.00, 90.00, 90.00 degrees
Space group F-43m (No. 216)
Symmetry-distinct sites (fractional):
Li (0.0000, 0.0000, 0.0000)
Tb (0.2500, 0.2500, 0.2500)
Cd (0.2500, 0.2500, 0.7500)
Au (0.0000, 0.0000, 0.5000)

---

Entry 7:
A plane-wave DFT calculation with PBE was carried out for a relaxed structure of SrPd3Pt.

Properties
E above lowest polymorph, meV/atom: 0
Formation enthalpy at 0 K, eV per atom: -0.318
Calculated volume, Å³/atom: 21.59
Crystal system: orthorhombic

Cell lengths 4.3490, 5.3760, 9.2343 Å; angles 90.00, 90.00, 90.00 degrees
Space group Amm2 (No. 38)
Symmetry-distinct sites (fractional):
Sr (0.0000, 0.0000, 0.0000)
Pd (0.0000, 0.0000, 0.6619)
Pd (0.5000, 0.2461, 0.2551)
Pt (0.5000, 0.0000, 0.4994)

---

Entry 8:
A plane-wave DFT calculation with PBE was carried out for a relaxed structure of Ca3RhCl2F6.

Properties
Raw formation energy, eV/atom: -2.71
Calculated volume, Å³/atom: 18.90
Crystal system: monoclinic

Cell lengths 12.0572, 7.0450, 5.4039 Å; angles 90.00, 98.82, 90.00 degrees
Space group C2/m (No. 12)
Symmetry-distinct sites (fractional):
Ca (0.0000, 0.0000, 0.0000)
Ca (0.2500, 0.2500, 0.5000)
Rh (0.0000, 0.5000, 0.5000)
Cl (0.2013, 0.0000, 0.8432)
F (0.0693, 0.2365, 0.2924)
F (0.1645, 0.5000, 0.6566)

---

Entry 9:
A plane-wave DFT calculation with PBE was carried out for a relaxed structure of NdPdPb2.

Properties
E above lowest polymorph, meV/atom: 0
Formation enthalpy at 0 K, eV per atom: -0.523
Calculated volume, Å³/atom: 25.88
Crystal system: tetragonal

Cell lengths 4.8908, 4.8908, 17.3128 Å; angles 90.00, 90.00, 90.00 degrees
Space group I4/mmm (No. 139)
Symmetry-distinct sites (fractional):
Nd (0.0000, 0.0000, 0.1385)
Pd (0.0000, 0.5000, 0.2500)
Pb (0.0000, 0.0000, 0.3443)
Pb (0.0000, 0.5000, 0.0000)

---

Entry 10:
A plane-wave DFT calculation with PBE was carried out for a relaxed structure of EuErMgAg.

Properties
Formation enthalpy at 0 K, eV per atom: -0.120
Calculated volume, Å³/atom: 27.01
Crystal system: cubic

Cell lengths 7.5605, 7.5605, 7.5605 Å; angles 90.00, 90.00, 90.00 degrees
Space group F-43m (No. 216)
Symmetry-distinct sites (fractional):
Eu (0.0000, 0.0000, 0.0000)
Er (0.0000, 0.0000, 0.5000)
Mg (0.2500, 0.2500, 0.7500)
Ag (0.2500, 0.2500, 0.2500)

---

Entry 11:
A plane-wave DFT calculation with PBE was carried out for a relaxed structure of NpCoSi2Pt.

Properties
Raw formation energy, eV/atom: -0.62
Calculated volume, Å³/atom: 15.95
Crystal system: tetragonal

Cell lengths 3.9653, 3.9653, 10.1454 Å; angles 90.00, 90.00, 90.00 degrees
Space group I-4m2 (No. 119)
Symmetry-distinct sites (fractional):
Np (0.0000, 0.0000, 0.0000)
Co (0.0000, 0.5000, 0.2500)
Si (0.0000, 0.0000, 0.3820)
Pt (0.0000, 0.5000, 0.7500)

---

Entry 12:
A plane-wave DFT calculation with PBE was carried out for a relaxed structure of V4GaFe5.

Properties
Formation enthalpy at 0 K, eV per atom: -0.175
Calculated volume, Å³/atom: 11.87
Crystal system: tetragonal

Cell lengths 2.8715, 2.8715, 14.3960 Å; angles 90.00, 90.00, 90.00 degrees
Space group P4/mmm (No. 123)
Symmetry-distinct sites (fractional):
V (0.0000, 0.0000, 0.1006)
V (0.0000, 0.0000, 0.3025)
Ga (0.0000, 0.0000, 0.5000)
Fe (0.5000, 0.5000, 0.0000)
Fe (0.5000, 0.5000, 0.2016)
Fe (0.5000, 0.5000, 0.3955)

---

Entry 13:
A plane-wave DFT calculation with PBE was carried out for a relaxed structure of PrNdAg2.

Properties
E above lowest polymorph, meV/atom: 7
Formation enthalpy at 0 K, eV per atom: -0.245
Calculated volume, Å³/atom: 26.84
Crystal system: cubic

Cell lengths 7.5442, 7.5442, 7.5442 Å; angles 90.00, 90.00, 90.00 degrees
Space group Fm-3m (No. 225)
Symmetry-distinct sites (fractional):
Pr (0.0000, 0.0000, 0.0000)
Nd (0.0000, 0.0000, 0.5000)
Ag (0.2500, 0.2500, 0.2500)

---

Entry 14:
A plane-wave DFT calculation with PBE was carried out for a relaxed structure of SrHoPb6.

Properties
Formation enthalpy at 0 K, eV per atom: -0.313
Calculated volume, Å³/atom: 30.32
Crystal system: tetragonal

Cell lengths 4.9800, 4.9800, 9.7807 Å; angles 90.00, 90.00, 90.00 degrees
Space group P4/mmm (No. 123)
Symmetry-distinct sites (fractional):
Sr (0.0000, 0.0000, 0.0000)
Ho (0.0000, 0.0000, 0.5000)
Pb (0.0000, 0.5000, 0.2582)
Pb (0.5000, 0.5000, 0.0000)
Pb (0.5000, 0.5000, 0.5000)

---

Entry 15:
A plane-wave DFT calculation with PBE was carried out for a relaxed structure of NaCeSeO6.

Properties
Raw formation energy, eV/atom: -1.49
Calculated volume, Å³/atom: 12.97
Crystal system: trigonal

Cell lengths 5.3460, 5.3460, 4.7146 Å; angles 90.00, 90.00, 120.00 degrees
Space group P312 (No. 149)
Symmetry-distinct sites (fractional):
Na (0.0000, 0.0000, 0.0000)
Ce (0.6667, 0.3333, 0.5000)
Se (0.3333, 0.6667, 0.0000)
O (0.0446, 0.3992, 0.2219)

---

Entry 16:
A plane-wave DFT calculation with PBE was carried out for a relaxed structure of ZnP2CN.

Properties
Raw formation energy, eV/atom: 2.48
Calculated volume, Å³/atom: 15.60
Crystal system: tetragonal

Cell lengths 4.6808, 4.6808, 3.5590 Å; angles 90.00, 90.00, 90.00 degrees
Space group P4/mmm (No. 123)
Symmetry-distinct sites (fractional):
Zn (0.0000, 0.0000, 0.0000)
P (0.0000, 0.5000, 0.0000)
C (0.5000, 0.5000, 0.5000)
N (0.0000, 0.0000, 0.5000)

---

Entry 17:
A plane-wave DFT calculation with PBE was carried out for a relaxed structure of Ba3Ga2Pd2.

Properties
Formation enthalpy at 0 K, eV per atom: -0.529
Calculated volume, Å³/atom: 31.05
Crystal system: orthorhombic

Cell lengths 4.4416, 4.9629, 19.7223 Å; angles 90.00, 90.00, 90.00 degrees
Space group Immm (No. 71)
Symmetry-distinct sites (fractional):
Ba (0.0000, 0.0000, 0.0000)
Ba (0.0000, 0.5000, 0.3158)
Ga (0.0000, 0.0000, 0.4332)
Pd (0.0000, 0.5000, 0.1345)

---

Entry 18:
A plane-wave DFT calculation with PBE was carried out for a relaxed structure of DyHo2Mg.

Properties
E above lowest polymorph, meV/atom: 91
Formation enthalpy at 0 K, eV per atom: 0.062
Calculated volume, Å³/atom: 29.06
Crystal system: cubic

Cell lengths 7.7469, 7.7469, 7.7469 Å; angles 90.00, 90.00, 90.00 degrees
Space group Fm-3m (No. 225)
Symmetry-distinct sites (fractional):
Dy (0.0000, 0.0000, 0.0000)
Ho (0.2500, 0.2500, 0.2500)
Mg (0.0000, 0.0000, 0.5000)

---

Entry 19:
A plane-wave DFT calculation with PBE was carried out for a relaxed structure of AcLaCu.

Properties
E above lowest polymorph, meV/atom: 142
Formation enthalpy at 0 K, eV per atom: 0.079
Calculated volume, Å³/atom: 31.79
Crystal system: trigonal

Cell lengths 4.8625, 4.8625, 4.6579 Å; angles 90.00, 90.00, 120.00 degrees
Space group P3m1 (No. 156)
Symmetry-distinct sites (fractional):
Ac (0.0000, 0.0000, 0.0000)
La (0.6667, 0.3333, 0.4989)
Cu (0.3333, 0.6667, 0.5064)

---

Entry 20:
A plane-wave DFT calculation with PBE was carried out for a relaxed structure of NaPdAu4.

Properties
Formation enthalpy at 0 K, eV per atom: -0.098
Calculated volume, Å³/atom: 19.62
Crystal system: cubic

Cell lengths 7.7803, 7.7803, 7.7803 Å; angles 90.00, 90.00, 90.00 degrees
Space group F-43m (No. 216)
Symmetry-distinct sites (fractional):
Na (0.0000, 0.0000, 0.0000)
Pd (0.2500, 0.2500, 0.7500)
Au (0.1249, 0.1249, 0.3751)

---

| no. | E_tot (eV/atom) |
| --- | --- |
| 1 | -6.4622 |
| 2 | -6.7407 |
| 3 | -4.1276 |
| 4 | -5.7391 |
| 5 | -3.6944 |
| 6 | -3.1635 |
| 7 | -4.9787 |
| 8 | -5.0654 |
| 9 | -4.8673 |
| 10 | -4.9411 |
| 11 | -8.0063 |
| 12 | -8.3568 |
| 13 | -4.0577 |
| 14 | -3.8766 |
| 15 | -5.9906 |
| 16 | -3.4467 |
| 17 | -3.7014 |
| 18 | -3.7761 |
| 19 | -4.2983 |
| 20 | -3.3678 |